Record 1
Below is a relaxed NaV2Se4 crystal, with properties calculated at the PBE-GGA level.

Cell: 15.3008 3.5482 6.1744 Å, 90.00 108.95 90.00°
Closest atoms and distances in Å follow each position.
Space group C2/m (No. 12)
One atom of each set of equivalent atoms:
1 Na 0.0000 0.0000 0.0000 x2  6 Se 2.98-3.09
2 V 0.2486 0.5000 0.7140 x4  6 Se 2.47-2.61
3 Se 0.1378 0.0000 0.4932 x4  3 V 2.47-2.53
4 Se 0.1575 0.5000 0.0048 x4  3 V 2.57-2.61

Values from the calculation:
Its density of states at the Fermi level is 4.0 states/eV/f.u. The value obtained for the energy above the lowest structure with this stoichiometry is 0.00 eV per formula unit.

---

Record 2
Below is a relaxed NaVSe2 crystal, with properties calculated at the PBE-GGA level.

Cell: 3.4705 3.4705 7.4807 Å, 90.00 90.00 120.00°
Closest atoms and distances in Å follow each position.
Space group P-6m2 (No. 187)
One atom of each set of equivalent atoms:
1 Na 0.0000 0.0000 0.0000 x1  6 Se 2.97
2 V 0.0000 0.0000 0.5000 x1  6 Se 2.53
3 Se 0.6667 0.3333 0.2933 x2  3 V 2.53

---

Record 3
Below is a relaxed NaV4Se8 crystal, with properties calculated at the PBE-GGA level.

Cell: 16.7798 3.5337 12.0275 Å, 90.00 130.25 90.00°
Closest atoms and distances in Å follow each position.
Space group Cm (No. 8)
One atom of each set of equivalent atoms:
1 Na 0.0000 0.0000 0.0000 x2  9 Se 3.24-3.57, 2 Na 3.53
2 V 0.1558 0.0000 0.4817 x2  6 Se 2.45-2.56
3 V 0.1745 0.5000 0.8532 x2  6 Se 2.46-2.65
4 V 0.3273 0.0000 0.1566 x2  6 Se 2.45-2.65
5 V 0.3456 0.5000 0.5279 x2  6 Se 2.45-2.56
6 Se 0.0416 0.0000 0.7445 x2  3 V 2.46-2.56
7 Se 0.1221 0.5000 0.5931 x2  3 V 2.49-2.65
8 Se 0.1562 0.5000 0.3283 x2  3 V 2.45-2.56
9 Se 0.1917 0.5000 0.0757 x2  3 V 2.50-2.53
10 Se 0.3103 0.0000 0.9344 x2  3 V 2.50-2.53
11 Se 0.3453 0.0000 0.6814 x2  3 V 2.45-2.56
12 Se 0.3795 0.0000 0.4169 x2  3 V 2.49-2.65
13 Se 0.4600 0.5000 0.2658 x2  3 V 2.45-2.55

Values from the calculation:
Its density of states at the Fermi level is 8.1 states/eV/f.u. The value obtained for the energy above the lowest structure with this stoichiometry is 0.00 eV per formula unit.

---

Record 4
Below is a relaxed Na2V2Se crystal, with properties calculated at the PBE-GGA level.

Cell: 3.9060 3.9060 14.6641 Å, 90.00 90.00 90.00°
Closest atoms and distances in Å follow each position.
Space group I4/mmm (No. 139)
One atom of each set of equivalent atoms:
1 Na 0.0000 0.5000 0.2500 x4  4 Na 2.76
2 V 0.0000 0.0000 0.0624 x4  1 V 1.83
3 Se 0.0000 0.0000 0.5000 x2  8 V 2.91

Values from the calculation:
Its density of states at the Fermi level is 3.8 states/eV/f.u. The value obtained for the energy above the lowest structure with this stoichiometry is 1.84 eV per formula unit.

---

Record 5
Below is a relaxed Na4VSe5 crystal, with properties calculated at the PBE-GGA level.

Cell: 9.1312 9.1312 6.1000 Å, 90.00 90.00 90.00°
Closest atoms and distances in Å follow each position.
Space group I4 (No. 79)
One atom of each set of equivalent atoms:
1 Na 0.0884 0.6985 0.0000 x8  5 Se 2.87-3.11
2 V 0.0000 0.0000 0.6016 x2  5 Se 2.28-2.45
3 Se 0.0000 0.0000 0.9759 x2  1 V 2.28
4 Se 0.0791 0.7537 0.4965 x8  1 V 2.45

Values from the calculation:
Its density of states at the Fermi level is 2.6 states/eV/f.u.

---

Record 6
Below is a relaxed Na2V2Se crystal, with properties calculated at the PBE-GGA level.

Cell: 6.2379 6.2379 5.5245 Å, 90.00 90.00 90.00°
Closest atoms and distances in Å follow each position.
Space group P4/mbm (No. 127)
One atom of each set of equivalent atoms:
1 Na 0.1844 0.3156 0.0000 x4  5 Na 3.22-3.25, 6 V 3.32-3.34, 4 Se 3.58
2 V 0.1078 0.6078 0.5000 x4  1 V 1.90
3 Se 0.0000 0.0000 0.5000 x2  4 V 2.54

Values from the calculation:
Its density of states at the Fermi level is 3.8 states/eV/f.u. The value obtained for the energy above the lowest structure with this stoichiometry is 0.00 eV per formula unit.

---

Record 7
Below is a relaxed NaVSe3 crystal, with properties calculated at the PBE-GGA level.

Cell: 4.9100 4.9100 4.9100 Å, 90.00 90.00 90.00°
Closest atoms and distances in Å follow each position.
Space group Pm-3m (No. 221)
One atom of each set of equivalent atoms:
1 Na 0.0000 0.0000 0.0000 x1  12 Se 3.47
2 V 0.5000 0.5000 0.5000 x1  6 Se 2.46
3 Se 0.0000 0.5000 0.5000 x3  2 V 2.46

Values from the calculation:
Its density of states at the Fermi level is 5.2 states/eV/f.u. The value obtained for the energy above the lowest structure with this stoichiometry is 0.91 eV per formula unit.

---

Record 8
Below is a relaxed NaVSe3 crystal, with properties calculated at the PBE-GGA level.

Cell: 14.2355 11.1647 6.4142 Å, 90.00 90.04 90.00°
Closest atoms and distances in Å follow each position.
Space group C2/c (No. 15)
One atom of each set of equivalent atoms:
1 Na 0.0000 0.0979 0.2500 x4  6 Se 2.92-3.04
2 Na 0.0000 0.3118 0.7500 x4  4 Se 2.99-3.00
3 V 0.2368 0.0791 0.5786 x8  6 Se 2.44-2.57
4 Se 0.1427 0.0778 0.8987 x8  2 V 2.45-2.49
5 Se 0.1464 0.2460 0.4364 x8  2 V 2.44-2.57
6 Se 0.1455 0.4986 0.1721 x8  2 V 2.47-2.49

Values from the calculation:
Its density of states at the Fermi level is 0.9 states/eV/f.u. The value obtained for the energy above the lowest structure with this stoichiometry is 0.00 eV per formula unit.

---

Record 9
Below is a relaxed Na3VSe3 crystal, with properties calculated at the PBE-GGA level.

Cell: 12.0871 4.2344 13.5081 Å, 90.00 90.00 90.00°
Closest atoms and distances in Å follow each position.
Space group Pnma (No. 62)
One atom of each set of equivalent atoms:
1 Na 0.0678 0.2500 0.1004 x4  5 Se 2.98-3.13
2 Na 0.1547 0.7500 0.4916 x4  5 Se 2.95-3.25
3 Na 0.2403 0.7500 0.7858 x4  5 Se 2.91-3.07, 2 V 3.21
4 V 0.0646 0.2500 0.7015 x4  4 Se 2.41-2.49
5 Se 0.0290 0.2500 0.3473 x4  2 V 2.49
6 Se 0.1037 0.2500 0.8766 x4  1 V 2.41
7 Se 0.2428 0.2500 0.6216 x4  1 V 2.41

Values from the calculation:
Its density of states at the Fermi level is 3.6 states/eV/f.u.

---

Record 10
Below is a relaxed Na5V2Se6 crystal, with properties calculated at the PBE-GGA level.

Cell: 12.1910 7.4588 15.5899 Å, 90.00 102.48 90.00°
Closest atoms and distances in Å follow each position.
Space group C2/c (No. 15)
One atom of each set of equivalent atoms:
1 Na 0.0000 0.1652 0.2500 x4  4 Se 2.95-3.00
2 Na 0.0517 0.2370 0.0013 x8  4 Se 2.91-3.24
3 Na 0.1622 0.3692 0.7376 x8  5 Se 2.93-3.16
4 V 0.2283 0.3661 0.4314 x8  4 Se 2.34-2.39
5 Se 0.0482 0.4772 0.3739 x8  1 V 2.34
6 Se 0.1348 0.0265 0.6432 x8  1 V 2.37
7 Se 0.2177 0.0468 0.4185 x8  2 V 2.38-2.39

Values from the calculation:
Its density of states at the Fermi level is 2.2 states/eV/f.u.

---

Record 11
Below is a relaxed NaVSe2 crystal, with properties calculated at the PBE-GGA level.

Cell: 6.5205 6.5205 10.5497 Å, 90.00 90.00 90.00°
Closest atoms and distances in Å follow each position.
Space group I-42d (No. 122)
One atom of each set of equivalent atoms:
1 Na 0.0000 0.0000 0.0000 x4  4 Se 2.94
2 V 0.0000 0.0000 0.5000 x4  4 Se 2.42
3 Se 0.1849 0.2500 0.6250 x8  2 V 2.42

Values from the calculation:
Its density of states at the Fermi level is 1.8 states/eV/f.u.

---

Record 12
Below is a relaxed NaV3Se6 crystal, with properties calculated at the PBE-GGA level.

Cell: 11.1424 3.3621 14.3991 Å, 90.00 94.35 90.00°
Closest atoms and distances in Å follow each position.
Space group P2_1/m (No. 11)
One atom of each set of equivalent atoms:
1 Na 0.1807 0.2500 0.4850 x2  6 Se 2.96-3.00
2 V 0.0391 0.7500 0.9180 x2  6 Se 2.45-2.58
3 V 0.1191 0.2500 0.7412 x2  5 Se 2.35-2.48
4 V 0.4637 0.7500 0.5705 x2  5 Se 2.47-2.48
5 Se 0.0577 0.7500 0.6203 x2  2 V 2.48
6 Se 0.0677 0.7500 0.1926 x2  3 V 2.35-2.55
7 Se 0.1558 0.2500 0.0141 x2  3 V 2.45-2.48
8 Se 0.2359 0.7500 0.8340 x2  3 V 2.46-2.58
9 Se 0.3501 0.2500 0.6542 x2  2 V 2.47
10 Se 0.3726 0.7500 0.4081 x2  3 V 2.48

Values from the calculation:
Its density of states at the Fermi level is 6.3 states/eV/f.u.

---

Record 13
Below is a relaxed NaV4Se8 crystal, with properties calculated at the PBE-GGA level.

Cell: 10.4744 10.4744 10.4744 Å, 90.00 90.00 90.00°
Closest atoms and distances in Å follow each position.
Space group F-43m (No. 216)
One atom of each set of equivalent atoms:
1 Na 0.0000 0.0000 0.0000 x4  4 Se 2.61
2 V 0.1110 0.1110 0.6110 x16  6 Se 2.50-2.61
3 Se 0.1263 0.1263 0.3737 x16  3 V 2.50
4 Se 0.1438 0.1438 0.8562 x16  1 Na 2.61, 3 V 2.61

Values from the calculation:
Its density of states at the Fermi level is 12.1 states/eV/f.u. The value obtained for the energy above the lowest structure with this stoichiometry is 0.38 eV per formula unit.

---

Record 14
Below is a relaxed NaV3Se crystal, with properties calculated at the PBE-GGA level.

Cell: 4.6497 4.6497 4.6497 Å, 90.00 90.00 90.00°
Closest atoms and distances in Å follow each position.
Space group Pm-3m (No. 221)
One atom of each set of equivalent atoms:
1 Na 0.0000 0.0000 0.0000 x1  12 V 3.29
2 V 0.0000 0.5000 0.5000 x3  2 Se 2.32
3 Se 0.5000 0.5000 0.5000 x1  6 V 2.32

Values from the calculation:
Its density of states at the Fermi level is 7.0 states/eV/f.u.

---

Record 15
Below is a relaxed NaVSe2 crystal, with properties calculated at the PBE-GGA level.

Cell: 3.7765 3.7765 20.6332 Å, 90.00 90.00 120.00°
Closest atoms and distances in Å follow each position.
Space group R-3m (No. 166, hexagonal axes)
One atom of each set of equivalent atoms:
1 Na 0.0000 0.0000 0.0000 x3  6 Se 2.98
2 V 0.0000 0.0000 0.5000 x3  6 Se 2.60
3 Se 0.0000 0.0000 0.2349 x6  3 V 2.60

Values from the calculation:
Its density of states at the Fermi level is 5.2 states/eV/f.u.

---

Record 16
Below is a relaxed NaV2Se4 crystal, with properties calculated at the PBE-GGA level.

Cell: 6.1635 3.5510 7.9111 Å, 90.00 111.59 90.00°
Closest atoms and distances in Å follow each position.
Space group Pm (No. 6)
One atom of each set of equivalent atoms:
1 Na 0.0000 0.0000 0.0000 x1  6 Se 2.92-3.18
2 V 0.3061 0.5000 0.5113 x1  6 Se 2.48-2.60
3 V 0.8698 0.0000 0.5045 x1  6 Se 2.47-2.60
4 Se 0.2741 0.0000 0.7294 x1  3 V 2.47-2.53
5 Se 0.4220 0.0000 0.3273 x1  3 V 2.56-2.60
6 Se 0.7539 0.5000 0.6898 x1  3 V 2.57-2.60
7 Se 0.8995 0.5000 0.2862 x1  3 V 2.48-2.53

Values from the calculation:
Its density of states at the Fermi level is 4.0 states/eV/f.u. The value obtained for the energy above the lowest structure with this stoichiometry is 0.09 eV per formula unit.

---

Record 17
Below is a relaxed NaVSe2 crystal, with properties calculated at the PBE-GGA level.

Cell: 4.1474 4.1474 24.6561 Å, 90.00 90.00 120.00°
Closest atoms and distances in Å follow each position.
Space group R-3m (No. 166, hexagonal axes)
One atom of each set of equivalent atoms:
1 Na 0.0000 0.0000 0.0000 x3  6 Se 3.01
2 V 0.0000 0.0000 0.5000 x3  2 Se 2.29
3 Se 0.0000 0.0000 0.4072 x6  1 V 2.29

Values from the calculation:
Its density of states at the Fermi level is 4.7 states/eV/f.u.

---

Record 18
Below is a relaxed NaV2Se3 crystal, with properties calculated at the PBE-GGA level.

Cell: 3.5251 14.5238 9.4712 Å, 90.00 90.00 90.00°
Closest atoms and distances in Å follow each position.
Space group Cmcm (No. 63)
One atom of each set of equivalent atoms:
1 Na 0.0000 0.2418 0.2500 x4  8 Se 3.07-3.41
2 V 0.0000 0.0000 0.0000 x4  6 Se 2.59-2.67
3 V 0.0000 0.4704 0.7500 x4  4 Se 2.38-2.42
4 Se 0.0000 0.0850 0.7500 x4  4 V 2.42-2.67
5 Se 0.0000 0.3735 0.5478 x8  3 V 2.38-2.59

Values from the calculation:
Its density of states at the Fermi level is 2.4 states/eV/f.u.

---

Record 19
Below is a relaxed Na3V5Se10 crystal, with properties calculated at the PBE-GGA level.

Cell: 6.2270 8.4594 9.0103 Å, 114.67 96.73 103.06°
Closest atoms and distances in Å follow each position.
Space group P1 (No. 1)
One atom of each set of equivalent atoms:
1 Na 0.0000 0.0000 0.0000 x1  6 Se 3.00-3.06
2 Na 0.1399 0.6214 0.6352 x1  6 Se 2.92-3.18
3 Na 0.5144 0.3722 0.3863 x1  6 Se 2.91-3.17
4 V 0.0126 0.2951 0.8082 x1  6 Se 2.44-2.70
5 V 0.3019 0.7129 0.2254 x1  6 Se 2.47-2.64
6 V 0.4813 0.0882 0.5976 x1  6 Se 2.49-2.62
7 V 0.6599 0.5193 0.0245 x1  6 Se 2.51-2.65
8 V 0.8258 0.8857 0.3960 x1  6 Se 2.48-2.60
9 Se 0.0227 0.6238 0.9401 x1  3 V 2.51-2.64
10 Se 0.1020 0.9897 0.6799 x1  3 V 2.57-2.62
11 Se 0.2034 0.0085 0.3280 x1  3 V 2.53-2.60
12 Se 0.2938 0.3843 0.0881 x1  3 V 2.51-2.60
13 Se 0.4075 0.4028 0.7310 x1  3 V 2.57-2.70
14 Se 0.5131 0.7701 0.5063 x1  3 V 2.48-2.53
15 Se 0.6119 0.8307 0.1164 x1  3 V 2.47-2.51
16 Se 0.6821 0.1808 0.8984 x1  3 V 2.44-2.65
17 Se 0.8188 0.2192 0.5155 x1  3 V 2.49-2.58
18 Se 0.9199 0.5885 0.2958 x1  3 V 2.52-2.64

Values from the calculation:
Its density of states at the Fermi level is 7.1 states/eV/f.u. The value obtained for the energy above the lowest structure with this stoichiometry is 0.00 eV per formula unit.

---

Record 20
Below is a relaxed NaV2Se4 crystal, with properties calculated at the PBE-GGA level.

Cell: 3.6263 3.6263 41.6368 Å, 90.00 90.00 120.00°
Closest atoms and distances in Å follow each position.
Space group R3m (No. 160, hexagonal axes)
One atom of each set of equivalent atoms:
1 Na 0.0000 0.0000 0.0000 x3  6 Se 2.98-2.99
2 V 0.0000 0.0000 0.4209 x3  6 Se 2.52-2.59
3 V 0.0000 0.0000 0.9120 x3  6 Se 2.51-2.59
4 Se 0.0000 0.0000 0.1210 x3  3 V 2.52
5 Se 0.0000 0.0000 0.2119 x3  3 V 2.51
6 Se 0.0000 0.0000 0.6153 x3  3 V 2.59
7 Se 0.0000 0.0000 0.7177 x3  3 V 2.59

Values from the calculation:
Its density of states at the Fermi level is 7.0 states/eV/f.u. The value obtained for the energy above the lowest structure with this stoichiometry is 0.61 eV per formula unit.

---

Taking the records one at a time from the top gives electronic total energy values of -0.412, -0.382, -0.422, -0.314, -0.292, -0.341, -0.341, -0.354, -0.313, -0.327, -0.374, -0.418, -0.419, -0.414, -0.383, -0.411, -0.323, -0.424, -0.406, -0.406 Ry/atom.
Taking the records one at a time from the top gives energy relative to the elements, uncorrected values of -826, -844, -685, 606, -792, 237, -463, -645, -903, -934, -743, -731, -656, 797, -858, -814, -39, -771, -834, -739 meV per atom.